[1]
Material: LaHo2Th3S6
Method: DFT, PBE
State: relaxed

As for the total energy: -7.011 eV per atom.

It has space group C2/m (No. 12), with a = 6.8828 Å, b = 11.8716 Å, c = 7.0708 Å, α = 90.00°, β = 108.79° and γ = 90.00°. Symmetry generates all atoms from La at (0.0000, 0.0000, 0.0000), Ho at (0.0000, 0.3330, 0.0000), Th at (0.0000, 0.1614, 0.5000), Th at (0.0000, 0.5000, 0.5000), S at (0.2321, 0.5000, 0.2348) and S at (0.2466, 0.3269, 0.7584).

---

[2]
Material: Zr3As
Method: DFT, PBE
State: relaxed

The calculation puts the formation energy at -0.5361 eV/atom.

It has space group P4/mmm (No. 123), with a = 3.5941 Å, b = 3.5941 Å, c = 6.3940 Å, α = 90.00°, β = 90.00° and γ = 90.00°. Symmetry generates all atoms from Zr at (0.0000, 0.0000, 0.0000), Zr at (0.5000, 0.5000, 0.2753) and As at (0.0000, 0.0000, 0.5000).

---

[3]
Material: CsHgBr4
Method: DFT, PBE
State: relaxed

As for the relative energy among the computed polymorphs: 22 meV per atom.

It has space group Cmcm (No. 63), with a = 5.8344 Å, b = 21.8395 Å, c = 7.2349 Å, α = 90.00°, β = 90.00° and γ = 90.00°. Symmetry generates all atoms from Cs at (0.0000, 0.0881, 0.2500), Hg at (0.0000, 0.3988, 0.2500), Br at (0.0000, 0.0914, 0.7500), Br at (0.0000, 0.3220, 0.5418) and Br at (0.0000, 0.5000, 0.0000).

---

[4]
Material: La2MgGeO6
Method: DFT, PBE
State: relaxed

As for the total energy: -7.424 eV per atom.

It has space group R-3 (No. 148, hexagonal axes), with a = 5.5811 Å, b = 5.5811 Å, c = 13.4337 Å, α = 90.00°, β = 90.00° and γ = 120.00°. Symmetry generates all atoms from La at (0.0000, 0.0000, 0.2490), Mg at (0.0000, 0.0000, 0.5000), Ge at (0.0000, 0.0000, 0.0000) and O at (0.0152, 0.5734, 0.7480).

---

[5]
Material: In3Hg5Pb
Method: DFT, PBE
State: relaxed

As for the relative energy among the computed polymorphs: 0 meV per atom. The calculation puts the formation energy at 0.0334 eV/atom.

It has space group P6_3/mcm (No. 193), with a = 9.3115 Å, b = 9.3115 Å, c = 6.5575 Å, α = 90.00°, β = 90.00° and γ = 120.00°. Symmetry generates all atoms from In at (0.0000, 0.3521, 0.2500), Hg at (0.0000, 0.3207, 0.7500), Hg at (0.3333, 0.6667, 0.0000) and Pb at (0.0000, 0.0000, 0.0000).

---

[6]
Material: Sm5Sb4S
Method: DFT, PBE
State: relaxed

As for the relative energy among the computed polymorphs: 17 meV per atom.

It has space group I4/mmm (No. 139), with a = 4.4030 Å, b = 4.4030 Å, c = 30.9425 Å, α = 90.00°, β = 90.00° and γ = 90.00°. Symmetry generates all atoms from Sm at (0.0000, 0.0000, 0.0000), Sm at (0.0000, 0.0000, 0.2006), Sm at (0.0000, 0.0000, 0.4062), Sb at (0.0000, 0.0000, 0.0987), Sb at (0.0000, 0.0000, 0.3027) and S at (0.0000, 0.0000, 0.5000).

---

Question: Which formula does entry 3 have?
Answer: CsHgBr4

---

What did the third record say?
Material: CsHgBr4
Method: DFT, PBE
State: relaxed

As for the relative energy among the computed polymorphs: 22 meV per atom.

It has space group Cmcm (No. 63), with a = 5.8344 Å, b = 21.8395 Å, c = 7.2349 Å, α = 90.00°, β = 90.00° and γ = 90.00°. Symmetry generates all atoms from Cs at (0.0000, 0.0881, 0.2500), Hg at (0.0000, 0.3988, 0.2500), Br at (0.0000, 0.0914, 0.7500), Br at (0.0000, 0.3220, 0.5418) and Br at (0.0000, 0.5000, 0.0000).